Entry 1:
Computed, not measured: a relaxed structure of Na4PmTl15 at the PBE level of DFT.

Values from the calculation:
Total moment, μB/cell: 0.0
Formation energy from the elements, eV per atom: -0.101
Energy, eV per cell: -47.546

Unit cell a=4.8294 b=4.8294 c=24.6670 alpha=90.00 beta=90.00 gamma=90.00
Sites, in units of the cell vectors:
Tl: 0.5000 0.5000 0.8041
Tl: 0.0000 0.5000 0.5000
Tl: 0.5000 0.0000 0.7008
Tl: 0.5000 0.5000 0.0000
Tl: 0.5000 0.0000 0.2992
Tl: 0.5000 0.5000 0.4000
Tl: 0.5000 0.5000 0.6000
Tl: 0.5000 0.0000 0.0987
Tl: 0.5000 0.0000 0.5000
Tl: 0.5000 0.5000 0.1959
Tl: 0.0000 0.5000 0.2992
Tl: 0.0000 0.5000 0.0987
Tl: 0.0000 0.5000 0.7008
Tl: 0.0000 0.5000 0.9013
Tl: 0.5000 0.0000 0.9013
Na: 0.0000 0.0000 0.1957
Na: 0.0000 0.0000 0.6001
Na: 0.0000 0.0000 0.8043
Na: 0.0000 0.0000 0.3999
Pm: 0.0000 0.0000 0.0000

=====

Entry 2:
Computed, not measured: a relaxed structure of Th4GaSiS2 at the PBE level of DFT.

Values from the calculation:
Total moment, μB/cell: 0.0
Energy, eV per cell: -55.712
Raw formation energy, eV per atom: -1.166

Unit cell a=4.2388 b=7.0794 c=7.3519 alpha=69.80 beta=90.00 gamma=90.00
Sites, in units of the cell vectors:
S: 0.0000 0.0000 0.0000
S: 0.5000 0.0000 0.5000
Th: 0.5000 0.7561 0.2440
Th: 0.5000 0.2439 0.7560
Th: 0.0000 0.7531 0.7527
Th: 0.0000 0.2469 0.2473
Si: 0.5000 0.5000 0.0000
Ga: 0.0000 0.5000 0.5000

=====

Entry 3:
Computed, not measured: a relaxed structure of Zr2AlNi4 at the PBE level of DFT.

Values from the calculation:
Total moment, μB/cell: 0.0
Formation energy from the elements, eV per atom: -0.229
Energy, eV per cell: -45.570

Unit cell a=4.6124 b=4.6584 c=8.7060 alpha=122.06 beta=133.25 gamma=64.08
Sites, in units of the cell vectors:
Ni: 0.5000 0.0000 0.0000
Ni: 0.8193 0.9796 0.6571
Ni: 0.0000 0.5000 0.0000
Ni: 0.1807 0.0204 0.3429
Zr: 0.8027 0.6333 0.2888
Zr: 0.1973 0.3667 0.7112
Al: 0.0000 0.0000 0.0000